The following is a DFT calculation (PBE) of a relaxed structure of KAg3.

Cell lengths 8.4219, 7.6444, 6.3854 Å; angles 90.00, 90.00, 90.00 degrees
Space group Pnma (No. 62)
Symmetry-distinct sites (fractional):
K  0.0250  0.2500  0.1180 x4
Ag  0.1400  0.7500  0.3481 x4
Ag  0.1513  0.0641  0.5812 x8

---

The following is a DFT calculation (PBE) of a relaxed structure of KAg3.

Cell lengths 6.4976, 9.0712, 3.0210 Å; angles 90.00, 90.00, 90.00 degrees
Space group Cmmm (No. 65)
Symmetry-distinct sites (fractional):
K  0.0000  0.0000  0.0000 x2
Ag  0.0000  0.5000  0.0000 x2
Ag  0.2500  0.2500  0.5000 x4

---

The following is a DFT calculation (PBE) of a relaxed structure of KAg.

Cell lengths 12.9793, 4.2972, 7.9454 Å; angles 90.00, 112.13, 90.00 degrees
Space group Cm (No. 8)
Symmetry-distinct sites (fractional):
K  0.0000  0.0000  0.0000 x2
K  0.0059  0.0000  0.5545 x2
K  0.2901  0.0000  0.1717 x2
Ag  0.1692  0.5000  0.4049 x2
Ag  0.2166  0.5000  0.7998 x2
Ag  0.2907  0.0000  0.6363 x2

Values from the calculation:
energy above the most stable polymorph in this dataset: 66.2 meV/atom

---

The following is a DFT calculation (PBE) of a relaxed structure of KAg2.

Cell lengths 3.2679, 3.2679, 7.8912 Å; angles 90.00, 90.00, 120.00 degrees
Space group P-3m1 (No. 164)
Symmetry-distinct sites (fractional):
K  0.0000  0.0000  0.0000 x1
Ag  0.3333  0.6667  0.3601 x2

---

Number 1: total DFT energy (no corrections) -2.360 eV per atom, ΔE_f 0.053 eV/atom. Number 2: total DFT energy (no corrections) -2.172 eV per atom, ΔE_f 0.241 eV/atom. Number 3: total DFT energy (no corrections) -1.894 eV per atom, ΔE_f 0.081 eV/atom. Number 4: total DFT energy (no corrections) -1.952 eV per atom, ΔE_f 0.315 eV/atom.